Nb4W5: relaxed, GGA-PBE.

Computed properties:
D(E_F) (states/eV/f.u.): 7.364
Energy relative to the elements (eV per formula unit): 2.17

Unit cell a=6.2169 b=6.2169 c=6.2169 alpha=98.39 beta=98.39 gamma=135.10
Closest atoms and distances in Å follow each position.
Fractional coordinates of all 9 atoms:
Nb1 0.0000 0.3256 0.3256  3 W 2.65-2.75, 1 Nb 2.83
Nb2 0.0000 0.6744 0.6744  3 W 2.65-2.75, 1 Nb 2.83
Nb3 0.3256 0.0000 0.3256  3 W 2.65-2.75, 1 Nb 2.83
Nb4 0.6744 0.0000 0.6744  3 W 2.65-2.75, 1 Nb 2.83
W1 0.0000 0.0000 0.0000  4 Nb 2.65
W2 0.3378 0.3378 0.6756  2 W 2.64, 2 Nb 2.75
W3 0.3378 0.6622 0.0000  2 W 2.64, 2 Nb 2.75
W4 0.6622 0.3378 0.0000  2 W 2.64, 2 Nb 2.75
W5 0.6622 0.6622 0.3244  2 W 2.64, 2 Nb 2.75


NbW: relaxed, GGA-PBE.

Computed properties:
D(E_F) (states/eV/f.u.): 4.029
Energy relative to the elements (eV per formula unit): 5.64

Unit cell a=7.2727 b=7.2727 c=7.2727 alpha=90.00 beta=90.00 gamma=90.00
Closest atoms and distances in Å follow each position.
Fractional coordinates of all 12 atoms:
Nb1 0.0000 0.2500 0.5000  4 W 2.57
Nb2 0.0000 0.7500 0.5000  4 W 2.57
Nb3 0.2500 0.5000 0.0000  4 W 2.57
Nb4 0.5000 0.0000 0.2500  4 W 2.57
Nb5 0.5000 0.0000 0.7500  4 W 2.57
Nb6 0.7500 0.5000 0.0000  4 W 2.57
W1 0.0000 0.5000 0.2500  4 Nb 2.57
W2 0.0000 0.5000 0.7500  4 Nb 2.57
W3 0.2500 0.0000 0.5000  4 Nb 2.57
W4 0.5000 0.2500 0.0000  4 Nb 2.57
W5 0.5000 0.7500 0.0000  4 Nb 2.57
W6 0.7500 0.0000 0.5000  4 Nb 2.57


Nb5W2: relaxed, GGA-PBE.

Computed properties:
D(E_F) (states/eV/f.u.): 6.849
Energy relative to the elements (eV per formula unit): 1.25

Unit cell a=7.8483 b=7.8483 c=6.3533 alpha=91.09 beta=91.09 gamma=39.86
Closest atoms and distances in Å follow each position.
Fractional coordinates of all 14 atoms:
Nb1 0.0172 0.2656 0.5383  7 Nb 2.75-3.00, 3 W 2.88-3.06
Nb2 0.1169 0.8831 0.7500  4 Nb 2.75-2.82, 6 W 2.88-2.99
Nb3 0.1637 0.4146 0.8225  2 W 2.76-2.85, 8 Nb 2.80-3.05
Nb4 0.2656 0.0172 0.0383  7 Nb 2.75-3.00, 3 W 2.88-3.06
Nb5 0.4146 0.1637 0.3225  2 W 2.76-2.85, 8 Nb 2.80-3.05
Nb6 0.5854 0.8363 0.6775  2 W 2.76-2.85, 8 Nb 2.80-3.05
Nb7 0.7344 0.9828 0.9617  7 Nb 2.75-3.00, 3 W 2.88-3.06
Nb8 0.8363 0.5854 0.1775  2 W 2.76-2.85, 8 Nb 2.80-3.05
Nb9 0.8831 0.1169 0.2500  4 Nb 2.75-2.82, 6 W 2.88-2.99
Nb10 0.9828 0.7344 0.4617  7 Nb 2.75-3.00, 3 W 2.88-3.06
W1 0.3162 0.5493 0.1074  2 W 2.66-2.73, 4 Nb 2.76-2.88
W2 0.4507 0.6838 0.3926  2 W 2.66-2.73, 4 Nb 2.76-2.88
W3 0.5493 0.3162 0.6074  2 W 2.66-2.73, 4 Nb 2.76-2.88
W4 0.6838 0.4507 0.8926  2 W 2.66-2.73, 4 Nb 2.76-2.88


Y2NbW: relaxed, GGA-PBE.

Computed properties:
D(E_F) (states/eV/f.u.): 9.722
Energy relative to the elements (eV per formula unit): 4.39

Unit cell a=8.0190 b=8.0190 c=5.8863 alpha=90.00 beta=90.00 gamma=90.00
Closest atoms and distances in Å follow each position.
Fractional coordinates of all 16 atoms:
Y1 0.2374 0.2500 0.1250  2 W 2.86, 2 Y 2.95, 2 Nb 3.00
Y2 0.2500 0.7374 0.3750  2 W 2.86, 2 Y 2.95, 2 Nb 3.00
Y3 0.2500 0.7626 0.8750  2 W 2.86, 2 Y 2.95, 2 Nb 3.00
Y4 0.2626 0.2500 0.6250  2 W 2.86, 2 Y 2.95, 2 Nb 3.00
Y5 0.7374 0.7500 0.6250  2 W 2.86, 2 Y 2.95, 2 Nb 3.00
Y6 0.7500 0.2374 0.8750  2 W 2.86, 2 Y 2.95, 2 Nb 3.00
Y7 0.7500 0.2626 0.3750  2 W 2.86, 2 Y 2.95, 2 Nb 3.00
Y8 0.7626 0.7500 0.1250  2 W 2.86, 2 Y 2.95, 2 Nb 3.00
Nb1 0.0000 0.0000 0.5000  2 W 2.94, 4 Y 3.00
Nb2 0.0000 0.5000 0.7500  2 W 2.94, 4 Y 3.00
Nb3 0.5000 0.0000 0.2500  2 W 2.94, 4 Y 3.00
Nb4 0.5000 0.5000 0.0000  2 W 2.94, 4 Y 3.00
W1 0.0000 0.0000 0.0000  4 Y 2.86, 2 Nb 2.94
W2 0.0000 0.5000 0.2500  4 Y 2.86, 2 Nb 2.94
W3 0.5000 0.0000 0.7500  4 Y 2.86, 2 Nb 2.94
W4 0.5000 0.5000 0.5000  4 Y 2.86, 2 Nb 2.94


YNb3W: relaxed, GGA-PBE.

Computed properties:
D(E_F) (states/eV/f.u.): 6.095
Energy relative to the elements (eV per formula unit): 4.55

Unit cell a=4.9408 b=4.9408 c=4.9408 alpha=90.00 beta=90.00 gamma=90.00
Closest atoms and distances in Å follow each position.
Fractional coordinates of all 5 atoms:
Y1 0.0000 0.0000 0.0000  12 Nb 3.49
Nb1 0.0000 0.5000 0.5000  2 W 2.47
Nb2 0.5000 0.0000 0.5000  2 W 2.47
Nb3 0.5000 0.5000 0.0000  2 W 2.47
W1 0.5000 0.5000 0.5000  6 Nb 2.47


YNbW3: relaxed, GGA-PBE.

Computed properties:
D(E_F) (states/eV/f.u.): 7.696
Energy relative to the elements (eV per formula unit): 8.34

Unit cell a=4.8501 b=4.8501 c=4.8501 alpha=90.00 beta=90.00 gamma=90.00
Closest atoms and distances in Å follow each position.
Fractional coordinates of all 5 atoms:
Y1 0.0000 0.0000 0.0000  12 W 3.43
Nb1 0.5000 0.5000 0.5000  6 W 2.43
W1 0.0000 0.5000 0.5000  2 Nb 2.43
W2 0.5000 0.0000 0.5000  2 Nb 2.43
W3 0.5000 0.5000 0.0000  2 Nb 2.43


Y2NbW: relaxed, GGA-PBE.

Computed properties:
D(E_F) (states/eV/f.u.): 6.580
Energy relative to the elements (eV per formula unit): 2.86

Unit cell a=7.1829 b=7.1829 c=7.1829 alpha=90.00 beta=90.00 gamma=90.00
Closest atoms and distances in Å follow each position.
Fractional coordinates of all 16 atoms:
Y1 0.2500 0.2500 0.2500  4 Nb 3.11, 4 W 3.11
Y2 0.2500 0.2500 0.7500  4 Nb 3.11, 4 W 3.11
Y3 0.2500 0.7500 0.2500  4 Nb 3.11, 4 W 3.11
Y4 0.2500 0.7500 0.7500  4 W 3.11, 4 Nb 3.11
Y5 0.7500 0.2500 0.2500  4 Nb 3.11, 4 W 3.11
Y6 0.7500 0.2500 0.7500  4 W 3.11, 4 Nb 3.11
Y7 0.7500 0.7500 0.2500  4 Nb 3.11, 4 W 3.11
Y8 0.7500 0.7500 0.7500  4 Nb 3.11, 4 W 3.11
Nb1 0.0000 0.0000 0.0000  8 Y 3.11
Nb2 0.0000 0.5000 0.5000  8 Y 3.11
Nb3 0.5000 0.0000 0.5000  8 Y 3.11
Nb4 0.5000 0.5000 0.0000  8 Y 3.11
W1 0.0000 0.0000 0.5000  8 Y 3.11
W2 0.0000 0.5000 0.0000  8 Y 3.11
W3 0.5000 0.0000 0.0000  8 Y 3.11
W4 0.5000 0.5000 0.5000  8 Y 3.11


Y3NbW: relaxed, GGA-PBE.

Computed properties:
D(E_F) (states/eV/f.u.): 6.270
Energy relative to the elements (eV per formula unit): 5.57

Unit cell a=5.3631 b=5.3631 c=5.3631 alpha=90.00 beta=90.00 gamma=90.00
Closest atoms and distances in Å follow each position.
Fractional coordinates of all 5 atoms:
Y1 0.0000 0.0000 0.5000  2 W 2.68
Y2 0.0000 0.5000 0.0000  2 W 2.68
Y3 0.5000 0.0000 0.0000  2 W 2.68
Nb1 0.5000 0.5000 0.5000  12 Y 3.79
W1 0.0000 0.0000 0.0000  6 Y 2.68